No. 1
Rb3ThF8 | PBE | relaxed

Properties
- M_tot: 1.14 μB/cell
- Energy relative to the elements, uncorrected: -3.1572 eV per atom
- DOS(E_F): 13.30 states/eV per cell
- Final energy: -63.18 eV per cell
- Symmetry: I4/mmm, No. 139

Unit cell a=7.752 b=7.752 c=7.752 alpha=131.57 beta=131.57 gamma=70.91
Fractional coordinates of all 12 atoms:
Rb: 0.000 0.000 0.000
Rb: 0.250 0.750 0.500
Rb: 0.750 0.250 0.500
Th: 0.500 0.500 0.000
F: 0.179 0.179 0.574
F: 0.179 0.605 0.000
F: 0.395 0.395 0.574
F: 0.395 0.821 0.000
F: 0.605 0.179 0.000
F: 0.605 0.605 0.426
F: 0.821 0.395 0.000
F: 0.821 0.821 0.426



No. 2
Pt2RhW | PBE | relaxed

Properties
- M_tot: 0.00 μB/cell
- Energy of formation: 0.015 eV per atom
- DOS(E_F): 16.19 states/eV per cell
- Final energy: -129.30 eV per cell
- Symmetry: F-43m, No. 216

Unit cell a=6.283 b=6.283 c=6.283 alpha=90.00 beta=90.00 gamma=90.00
Fractional coordinates of all 16 atoms:
Pt: 0.000 0.000 0.000
Pt: 0.000 0.500 0.500
Pt: 0.250 0.250 0.250
Pt: 0.250 0.750 0.750
Pt: 0.500 0.000 0.500
Pt: 0.500 0.500 0.000
Pt: 0.750 0.250 0.750
Pt: 0.750 0.750 0.250
Rh: 0.000 0.000 0.500
Rh: 0.000 0.500 0.000
Rh: 0.500 0.000 0.000
Rh: 0.500 0.500 0.500
W: 0.250 0.250 0.750
W: 0.250 0.750 0.250
W: 0.750 0.250 0.250
W: 0.750 0.750 0.750



No. 3
Li3B8C8 | PBE | relaxed

Properties
- M_tot: 0.00 μB/cell
- Energy of formation: 0.008 eV per atom
- DOS(E_F): 1.19 states/eV per cell
- Final energy: -132.80 eV per cell
- Symmetry: Pm, No. 6

Unit cell a=7.036 b=2.729 c=9.015 alpha=90.00 beta=95.75 gamma=90.00
Fractional coordinates of all 19 atoms:
Li: 0.000 0.000 0.000
Li: 0.031 0.500 0.319
Li: 0.505 0.000 0.064
B: 0.247 0.500 0.132
B: 0.274 0.000 0.872
B: 0.374 0.000 0.376
B: 0.383 0.500 0.638
B: 0.618 0.000 0.681
B: 0.701 0.500 0.425
B: 0.723 0.500 0.932
B: 0.794 0.000 0.191
C: 0.249 0.500 0.958
C: 0.261 0.000 0.221
C: 0.348 0.000 0.714
C: 0.433 0.500 0.457
C: 0.608 0.500 0.584
C: 0.690 0.000 0.848
C: 0.755 0.000 0.358
C: 0.785 0.500 0.104



No. 4
UP2H10CO11 | PBE | relaxed

Properties
- M_tot: 0.00 μB/cell
- DOS(E_F): 0.00 states/eV per cell
- Final energy: -630.30 eV per cell
- Symmetry: Pnma, No. 62

Unit cell a=7.622 b=9.735 c=14.687 alpha=90.00 beta=90.00 gamma=90.00
Fractional coordinates of all 100 atoms:
U: 0.159 0.250 0.063
U: 0.341 0.750 0.563
U: 0.659 0.250 0.437
U: 0.841 0.750 0.937
P: 0.036 0.593 0.136
P: 0.036 0.907 0.136
P: 0.464 0.093 0.636
P: 0.464 0.407 0.636
P: 0.536 0.593 0.364
P: 0.536 0.907 0.364
P: 0.964 0.093 0.864
P: 0.964 0.407 0.864
H: 0.016 0.532 0.284
H: 0.016 0.968 0.284
H: 0.045 0.108 0.398
H: 0.045 0.392 0.398
H: 0.197 0.169 0.270
H: 0.197 0.331 0.270
H: 0.206 0.000 0.391
H: 0.206 0.500 0.391
H: 0.238 0.750 0.068
H: 0.243 0.250 0.689
H: 0.257 0.750 0.189
H: 0.262 0.250 0.568
H: 0.294 0.000 0.891
H: 0.294 0.500 0.891
H: 0.303 0.669 0.770
H: 0.303 0.831 0.770
H: 0.455 0.608 0.898
H: 0.455 0.892 0.898
H: 0.484 0.032 0.784
H: 0.484 0.468 0.784
H: 0.516 0.532 0.216
H: 0.516 0.968 0.216
H: 0.545 0.108 0.102
H: 0.545 0.392 0.102
H: 0.697 0.169 0.230
H: 0.697 0.331 0.230
H: 0.706 0.000 0.109
H: 0.706 0.500 0.109
H: 0.738 0.750 0.432
H: 0.743 0.250 0.811
H: 0.757 0.750 0.311
H: 0.762 0.250 0.932
H: 0.794 0.000 0.609
H: 0.794 0.500 0.609
H: 0.803 0.669 0.730
H: 0.803 0.831 0.730
H: 0.955 0.608 0.602
H: 0.955 0.892 0.602
H: 0.984 0.032 0.716
H: 0.984 0.468 0.716
C: 0.163 0.750 0.132
C: 0.337 0.250 0.632
C: 0.663 0.750 0.368
C: 0.837 0.250 0.868
O: 0.051 0.082 0.767
O: 0.051 0.418 0.767
O: 0.077 0.750 0.923
O: 0.100 0.750 0.548
O: 0.115 0.052 0.356
O: 0.115 0.448 0.356
O: 0.118 0.105 0.932
O: 0.118 0.395 0.932
O: 0.162 0.026 0.118
O: 0.162 0.474 0.118
O: 0.217 0.250 0.230
O: 0.283 0.750 0.730
O: 0.338 0.526 0.618
O: 0.338 0.974 0.618
O: 0.382 0.605 0.432
O: 0.382 0.895 0.432
O: 0.385 0.552 0.856
O: 0.385 0.948 0.856
O: 0.400 0.250 0.048
O: 0.423 0.250 0.423
O: 0.449 0.582 0.267
O: 0.449 0.918 0.267
O: 0.551 0.082 0.733
O: 0.551 0.418 0.733
O: 0.577 0.750 0.577
O: 0.600 0.750 0.952
O: 0.615 0.052 0.144
O: 0.615 0.448 0.144
O: 0.618 0.105 0.568
O: 0.618 0.395 0.568
O: 0.662 0.026 0.382
O: 0.662 0.474 0.382
O: 0.717 0.250 0.270
O: 0.783 0.750 0.770
O: 0.838 0.526 0.882
O: 0.838 0.974 0.882
O: 0.882 0.605 0.068
O: 0.882 0.895 0.068
O: 0.885 0.552 0.644
O: 0.885 0.948 0.644
O: 0.900 0.250 0.452
O: 0.923 0.250 0.077
O: 0.949 0.582 0.233
O: 0.949 0.918 0.233



No. 5
Co2NiHg | PBE | relaxed

Properties
- M_tot: 15.07 μB/cell
- Energy of formation: 0.393 eV per atom
- DOS(E_F): 27.60 states/eV per cell
- Final energy: -74.89 eV per cell
- Symmetry: F-43m, No. 216

Unit cell a=6.005 b=6.005 c=6.005 alpha=90.00 beta=90.00 gamma=90.00
Fractional coordinates of all 16 atoms:
Co: 0.000 0.000 0.000
Co: 0.000 0.500 0.500
Co: 0.250 0.250 0.250
Co: 0.250 0.750 0.750
Co: 0.500 0.000 0.500
Co: 0.500 0.500 0.000
Co: 0.750 0.250 0.750
Co: 0.750 0.750 0.250
Ni: 0.250 0.250 0.750
Ni: 0.250 0.750 0.250
Ni: 0.750 0.250 0.250
Ni: 0.750 0.750 0.750
Hg: 0.000 0.000 0.500
Hg: 0.000 0.500 0.000
Hg: 0.500 0.000 0.000
Hg: 0.500 0.500 0.500



No. 6
DyZnCuPt | PBE | relaxed

Properties
- M_tot: 0.00 μB/cell
- Energy of formation: -0.557 eV per atom
- DOS(E_F): 10.97 states/eV per cell
- Final energy: -72.97 eV per cell
- Symmetry: F-43m, No. 216

Unit cell a=6.571 b=6.571 c=6.571 alpha=90.00 beta=90.00 gamma=90.00
Fractional coordinates of all 16 atoms:
Dy: 0.000 0.000 0.000
Dy: 0.000 0.500 0.500
Dy: 0.500 0.000 0.500
Dy: 0.500 0.500 0.000
Zn: 0.000 0.000 0.500
Zn: 0.000 0.500 0.000
Zn: 0.500 0.000 0.000
Zn: 0.500 0.500 0.500
Cu: 0.250 0.250 0.750
Cu: 0.250 0.750 0.250
Cu: 0.750 0.250 0.250
Cu: 0.750 0.750 0.750
Pt: 0.250 0.250 0.250
Pt: 0.250 0.750 0.750
Pt: 0.750 0.250 0.750
Pt: 0.750 0.750 0.250



No. 7
La2Tm4H | PBE | relaxed

Properties
- M_tot: 0.00 μB/cell
- DOS(E_F): 18.49 states/eV per cell
- Final energy: -61.15 eV per cell
- Symmetry: I4/mmm, No. 139

Unit cell a=4.883 b=4.883 c=17.254 alpha=90.00 beta=90.00 gamma=90.00
Fractional coordinates of all 14 atoms:
La: 0.000 0.000 0.150
La: 0.000 0.000 0.850
La: 0.500 0.500 0.350
La: 0.500 0.500 0.650
Tm: 0.000 0.000 0.355
Tm: 0.000 0.000 0.645
Tm: 0.000 0.500 0.000
Tm: 0.000 0.500 0.500
Tm: 0.500 0.000 0.000
Tm: 0.500 0.000 0.500
Tm: 0.500 0.500 0.145
Tm: 0.500 0.500 0.855
H: 0.000 0.000 0.500
H: 0.500 0.500 0.000



No. 8
Pm6PtAu5 | PBE | relaxed

Properties
- M_tot: 0.00 μB/cell
- Energy of formation: -0.835 eV per atom
- DOS(E_F): 8.47 states/eV per cell
- Final energy: -60.95 eV per cell
- Symmetry: C2/m, No. 12

Unit cell a=8.997 b=8.997 c=5.196 alpha=106.70 beta=106.70 gamma=48.24
Fractional coordinates of all 12 atoms:
Pm: 0.083 0.592 0.338
Pm: 0.242 0.758 0.000
Pm: 0.408 0.917 0.662
Pm: 0.592 0.083 0.338
Pm: 0.758 0.242 0.000
Pm: 0.917 0.408 0.662
Pt: 0.000 0.000 0.500
Au: 0.176 0.176 0.176
Au: 0.334 0.334 0.835
Au: 0.500 0.500 0.500
Au: 0.666 0.666 0.165
Au: 0.824 0.824 0.824



No. 9
Tb4CdAg2Ir | PBE | relaxed

Properties
- M_tot: 0.00 μB/cell
- Energy of formation: -0.485 eV per atom
- DOS(E_F): 4.99 states/eV per cell
- Final energy: -37.88 eV per cell
- Symmetry: R-3m, No. 166

Unit cell a=8.841 b=8.841 c=8.841 alpha=33.72 beta=33.72 gamma=33.72
Fractional coordinates of all 8 atoms:
Tb: 0.115 0.115 0.115
Tb: 0.367 0.367 0.367
Tb: 0.633 0.633 0.633
Tb: 0.885 0.885 0.885
Cd: 0.500 0.500 0.500
Ag: 0.240 0.240 0.240
Ag: 0.760 0.760 0.760
Ir: 0.000 0.000 0.000



No. 10
YHo7Ni2 | PBE | relaxed

Properties
- M_tot: 0.68 μB/cell
- Energy of formation: 0.066 eV per atom
- DOS(E_F): 16.31 states/eV per cell
- Final energy: -49.41 eV per cell
- Symmetry: Cmmm, No. 65

Unit cell a=8.170 b=8.170 c=5.049 alpha=90.00 beta=90.00 gamma=114.78
Fractional coordinates of all 10 atoms:
Y: 0.000 0.000 0.000
Ho: 0.055 0.325 0.500
Ho: 0.293 0.707 0.000
Ho: 0.325 0.055 0.500
Ho: 0.500 0.500 0.500
Ho: 0.675 0.945 0.500
Ho: 0.707 0.293 0.000
Ho: 0.945 0.675 0.500
Ni: 0.299 0.701 0.500
Ni: 0.701 0.299 0.500



No. 11
Cu2Si2Pt | PBE | relaxed

Properties
- M_tot: 0.00 μB/cell
- Energy relative to the elements, uncorrected: 0.0784 eV per atom
- DOS(E_F): 6.52 states/eV per cell
- Final energy: -49.37 eV per cell
- Symmetry: P4/mbm, No. 127

Unit cell a=6.801 b=6.801 c=2.976 alpha=90.00 beta=90.00 gamma=90.00
Fractional coordinates of all 10 atoms:
Cu: 0.126 0.374 0.000
Cu: 0.374 0.874 0.000
Cu: 0.626 0.126 0.000
Cu: 0.874 0.626 0.000
Si: 0.176 0.676 0.500
Si: 0.324 0.176 0.500
Si: 0.676 0.824 0.500
Si: 0.824 0.324 0.500
Pt: 0.000 0.000 0.000
Pt: 0.500 0.500 0.000



No. 12
DyNiGe | PBE | relaxed

Properties
- M_tot: 0.02 μB/cell
- Energy of formation: -0.583 eV per atom
- DOS(E_F): 27.76 states/eV per cell
- Final energy: -67.00 eV per cell
- Symmetry: F-43m, No. 216

Unit cell a=6.166 b=6.166 c=6.166 alpha=90.00 beta=90.00 gamma=90.00
Fractional coordinates of all 12 atoms:
Dy: 0.000 0.000 0.000
Dy: 0.000 0.500 0.500
Dy: 0.500 0.000 0.500
Dy: 0.500 0.500 0.000
Ni: 0.250 0.250 0.750
Ni: 0.250 0.750 0.250
Ni: 0.750 0.250 0.250
Ni: 0.750 0.750 0.750
Ge: 0.000 0.000 0.500
Ge: 0.000 0.500 0.000
Ge: 0.500 0.000 0.000
Ge: 0.500 0.500 0.500



No. 13
BaIr2Pb | PBE | relaxed

Properties
- M_tot: 3.28 μB/cell
- Energy of formation: 0.754 eV per atom
- DOS(E_F): 29.60 states/eV per cell
- Final energy: -81.35 eV per cell
- Symmetry: F-43m, No. 216

Unit cell a=7.184 b=7.184 c=7.184 alpha=90.00 beta=90.00 gamma=90.00
Fractional coordinates of all 16 atoms:
Ba: 0.000 0.000 0.000
Ba: 0.000 0.500 0.500
Ba: 0.500 0.000 0.500
Ba: 0.500 0.500 0.000
Ir: 0.000 0.000 0.500
Ir: 0.000 0.500 0.000
Ir: 0.250 0.250 0.750
Ir: 0.250 0.750 0.250
Ir: 0.500 0.000 0.000
Ir: 0.500 0.500 0.500
Ir: 0.750 0.250 0.250
Ir: 0.750 0.750 0.750
Pb: 0.250 0.250 0.250
Pb: 0.250 0.750 0.750
Pb: 0.750 0.250 0.750
Pb: 0.750 0.750 0.250



No. 14
Li2La2ErPb2 | PBE | relaxed

Properties
- M_tot: 0.00 μB/cell
- Energy of formation: -0.349 eV per atom
- DOS(E_F): 5.04 states/eV per cell
- Final energy: -28.11 eV per cell
- Symmetry: R-3m, No. 166

Unit cell a=9.713 b=9.713 c=9.713 alpha=28.94 beta=28.94 gamma=28.94
Fractional coordinates of all 7 atoms:
Li: 0.107 0.107 0.107
Li: 0.893 0.893 0.893
La: 0.370 0.370 0.370
La: 0.630 0.630 0.630
Er: 0.500 0.500 0.500
Pb: 0.230 0.230 0.230
Pb: 0.770 0.770 0.770



No. 15
Ca3Cu2O6 | PBE | relaxed

Properties
- M_tot: 0.77 μB/cell
- Energy relative to the elements, uncorrected: -1.7768 eV per atom
- DOS(E_F): 6.24 states/eV per cell
- Final energy: -63.49 eV per cell
- Symmetry: Cm, No. 8

Unit cell a=6.538 b=6.538 c=6.682 alpha=105.00 beta=105.00 gamma=33.57
Fractional coordinates of all 11 atoms:
Ca: 0.000 0.000 0.000
Ca: 0.004 0.004 0.519
Ca: 0.306 0.306 0.172
Cu: 0.661 0.661 0.348
Cu: 0.668 0.668 0.839
O: 0.144 0.144 0.315
O: 0.151 0.151 0.853
O: 0.503 0.503 0.270
O: 0.513 0.513 0.756
O: 0.812 0.812 0.385
O: 0.817 0.817 0.966



No. 16
Tm2CdSn | PBE | relaxed

Properties
- M_tot: 0.31 μB/cell
- Energy of formation: -0.465 eV per atom
- DOS(E_F): 3.00 states/eV per cell
- Final energy: -15.72 eV per cell
- Symmetry: P4/mmm, No. 123

Unit cell a=4.885 b=4.885 c=4.239 alpha=90.00 beta=90.00 gamma=90.00
Fractional coordinates of all 4 atoms:
Tm: 0.000 0.500 0.000
Tm: 0.500 0.000 0.000
Cd: 0.000 0.000 0.500
Sn: 0.500 0.500 0.500



No. 17
Hf3IrS | PBE | relaxed

Properties
- M_tot: 0.00 μB/cell
- Energy relative to the elements, uncorrected: -0.3229 eV per atom
- DOS(E_F): 2.56 states/eV per cell
- Final energy: -44.46 eV per cell
- Symmetry: Pm-3m, No. 221

Unit cell a=4.648 b=4.648 c=4.648 alpha=90.00 beta=90.00 gamma=90.00
Fractional coordinates of all 5 atoms:
Hf: 0.000 0.000 0.500
Hf: 0.000 0.500 0.000
Hf: 0.500 0.000 0.000
Ir: 0.500 0.500 0.500
S: 0.000 0.000 0.000



No. 18
NaNp4Se6 | PBE | relaxed

Properties
- M_tot: 33.48 μB/cell
- Energy relative to the elements, uncorrected: -1.1184 eV per atom
- DOS(E_F): 81.24 states/eV per cell
- Final energy: -172.58 eV per cell
- Symmetry: Cmcm, No. 63

Unit cell a=7.115 b=7.115 c=21.099 alpha=90.00 beta=90.00 gamma=146.27
Fractional coordinates of all 22 atoms:
Na: 0.162 0.838 0.750
Na: 0.838 0.162 0.250
Np: 0.095 0.905 0.131
Np: 0.095 0.905 0.369
Np: 0.364 0.636 0.042
Np: 0.364 0.636 0.458
Np: 0.636 0.364 0.542
Np: 0.636 0.364 0.958
Np: 0.905 0.095 0.631
Np: 0.905 0.095 0.869
Se: 0.000 0.000 0.000
Se: 0.000 0.000 0.500
Se: 0.180 0.820 0.250
Se: 0.272 0.728 0.583
Se: 0.272 0.728 0.917
Se: 0.459 0.541 0.161
Se: 0.459 0.541 0.339
Se: 0.541 0.459 0.661
Se: 0.541 0.459 0.839
Se: 0.728 0.272 0.083
Se: 0.728 0.272 0.417
Se: 0.820 0.180 0.750



No. 19
K2CeMgSe4 | PBE | relaxed

Properties
- M_tot: 0.00 μB/cell
- Energy relative to the elements, uncorrected: -1.4302 eV per atom
- Final energy: -35.10 eV per cell
- Symmetry: P2/m, No. 10

Unit cell a=7.127 b=4.250 c=8.037 alpha=90.00 beta=108.06 gamma=90.00
Fractional coordinates of all 8 atoms:
K: 0.000 0.000 0.000
K: 0.500 0.500 0.000
Ce: 0.000 0.500 0.500
Mg: 0.500 0.000 0.500
Se: 0.237 0.000 0.705
Se: 0.271 0.500 0.305
Se: 0.729 0.500 0.695
Se: 0.763 0.000 0.295



No. 20
BeHgOs2 | PBE | relaxed

Properties
- M_tot: 0.00 μB/cell
- Energy of formation: 0.604 eV per atom
- DOS(E_F): 7.40 states/eV per cell
- Final energy: -48.14 eV per cell
- Symmetry: Cmmm, No. 65

Unit cell a=2.878 b=4.683 c=8.760 alpha=90.00 beta=90.00 gamma=90.00
Fractional coordinates of all 8 atoms:
Be: 0.000 0.000 0.000
Be: 0.500 0.500 0.000
Hg: 0.000 0.000 0.500
Hg: 0.500 0.500 0.500
Os: 0.000 0.500 0.207
Os: 0.000 0.500 0.793
Os: 0.500 0.000 0.207
Os: 0.500 0.000 0.793